Entry 1:
Density functional theory data (PBEsol) for a geometry-optimized YScIr4 structure.

abc: 7.409 7.409 7.409
angles: 90.00 90.00 90.00
Space group F-43m (No. 216)
Inequivalent atoms, fractional coordinates:
Y 0.000 0.000 0.000 [4 per cell]
Sc 0.250 0.250 0.250 [4 per cell]
Ir 0.125 0.125 0.625 [16 per cell]

Results
The magnetic moment is 0.00 μB per formula unit. The value obtained for the density of states at the Fermi level is 19.151 states/eV/cell. The energy of formation is -17.45 kcal/mol of atoms.

***

Entry 2:
Density functional theory data (PBEsol) for a geometry-optimized YSc2Ir structure.

abc: 3.228 3.228 8.282
angles: 90.00 90.00 90.00
Space group P4/mmm (No. 123)
Inequivalent atoms, fractional coordinates:
Y 0.000 0.000 0.000 [1 per cell]
Sc 0.500 0.500 0.313 [2 per cell]
Ir 0.000 0.000 0.500 [1 per cell]

Results
As for the energy above the most stable polymorph in this dataset: 1.35 kcal/mol of atoms. The magnetic moment is 0.00 μB per formula unit. The value obtained for the density of states at the Fermi level is 4.659 states/eV/cell. The energy of formation is -10.71 kcal/mol of atoms.

***

Listing energy for the structures above in their given order: -57.26; -31.71 eV per formula unit.